[1]
VASP calculation (PBE-GGA) on a geometry-optimized PdRhSe structure.

Geometry as POSCAR:
```
PdRhSe
1.0
4.088 0.000 0.000
-2.044 3.540 0.000
0.000 0.000 3.404
Pd Rh Se
1 1 1
Direct
0.000 0.000 0.000
0.667 0.333 0.484
0.333 0.667 0.622
```

Summary:
Total DFT energy (no corrections) ... -5.42 eV/atom
Calculated density ... 9.7 g/cm³
Total moment ... 0.00 Bohr magnetons per cell
Space-group type ... P3m1, No. 156
Formation energy without anion corrections ... -75 meV per atom
E above lowest polymorph ... 0.18 eV/f.u.

---

[2]
VASP calculation (PBE-GGA) on a geometry-optimized PdRh3Se structure.

Geometry as POSCAR:
```
PdRh3Se
1.0
4.528 0.000 0.000
0.000 4.528 0.000
0.000 0.000 4.528
Pd Rh Se
1 3 1
Direct
0.000 0.000 0.000
0.000 0.500 0.500
0.500 0.000 0.500
0.500 0.500 0.000
0.500 0.500 0.500
```

Summary:
Total DFT energy (no corrections) ... -5.49 eV/atom
Calculated density ... 8.8 g/cm³
Total moment ... 0.62 Bohr magnetons per cell
Space-group type ... Pm-3m, No. 221
Formation energy without anion corrections ... 653 meV per atom
E above lowest polymorph ... 0.00 eV/f.u.

---

[3]
VASP calculation (PBE-GGA) on a geometry-optimized PdRhSe structure.

Geometry as POSCAR:
```
PdRhSe
1.0
7.049 -1.752 0.000
7.049 1.752 0.000
-0.728 0.000 8.478
Pd Rh Se
4 4 4
Direct
0.033 0.033 0.345
0.395 0.395 0.167
0.605 0.605 0.833
0.967 0.967 0.655
0.238 0.238 0.367
0.273 0.273 0.884
0.727 0.727 0.116
0.762 0.762 0.633
0.113 0.113 0.099
0.141 0.141 0.603
0.859 0.859 0.397
0.887 0.887 0.901
```

Summary:
Total DFT energy (no corrections) ... -5.48 eV/atom
Calculated density ... 9.1 g/cm³
Total moment ... 0.00 Bohr magnetons per cell
Space-group type ... C2/m, No. 12
Formation energy without anion corrections ... -136 meV per atom
E above lowest polymorph ... 0.00 eV/f.u.

---

[4]
VASP calculation (PBE-GGA) on a geometry-optimized SnPdRh2Se structure.

Geometry as POSCAR:
```
SnPdRh2Se
1.0
4.922 0.000 0.000
0.000 4.922 0.000
0.000 0.000 4.633
Sn Pd Rh Se
1 1 2 1
Direct
0.000 0.000 0.000
0.500 0.500 0.500
0.000 0.500 0.500
0.500 0.000 0.500
0.500 0.500 0.000
```

Summary:
Total DFT energy (no corrections) ... -4.64 eV/atom
Calculated density ... 7.5 g/cm³
Total moment ... 2.10 Bohr magnetons per cell
Space-group type ... P4/mmm, No. 123
Formation energy without anion corrections ... 838 meV per atom

---

[5]
VASP calculation (PBE-GGA) on a geometry-optimized Ta2Pd2RhSe6 structure.

Geometry as POSCAR:
```
Ta2Pd2RhSe6
1.0
3.016 -5.643 0.000
3.016 5.643 0.000
-0.677 0.000 6.413
Ta Pd Rh Se
2 2 1 6
Direct
0.129 0.871 0.000
0.871 0.129 0.000
0.157 0.843 0.500
0.843 0.157 0.500
0.500 0.500 0.000
0.159 0.502 0.780
0.217 0.217 0.284
0.498 0.841 0.220
0.502 0.159 0.780
0.783 0.783 0.716
0.841 0.498 0.220
```

Summary:
Total DFT energy (no corrections) ... -6.14 eV/atom
Calculated density ... 8.8 g/cm³
Total moment ... 0.00 Bohr magnetons per cell
Space-group type ... C2/m, No. 12
Formation energy without anion corrections ... -473 meV per atom

---

[6]
VASP calculation (PBE-GGA) on a geometry-optimized TaPdRhSe2 structure.

Geometry as POSCAR:
```
TaPdRhSe2
1.0
4.756 0.000 0.000
0.000 4.756 0.000
0.000 0.000 4.883
Ta Pd Rh Se
1 1 1 2
Direct
0.000 0.000 0.000
0.500 0.500 0.000
0.000 0.000 0.500
0.000 0.500 0.500
0.500 0.000 0.500
```

Summary:
Total DFT energy (no corrections) ... -5.38 eV/atom
Calculated density ... 8.2 g/cm³
Total moment ... 0.00 Bohr magnetons per cell
Space-group type ... P4/mmm, No. 123
Formation energy without anion corrections ... 897 meV per atom

---

[7]
VASP calculation (PBE-GGA) on a geometry-optimized Tl2PdRhSe2 structure.

Geometry as POSCAR:
```
Tl2PdRhSe2
1.0
-3.144 7.362 3.121
3.144 -7.362 3.121
3.144 7.362 -3.121
Tl Pd Rh Se
4 2 2 4
Direct
0.167 0.239 0.407
0.333 0.739 0.072
0.667 0.261 0.928
0.833 0.761 0.593
0.250 0.250 0.000
0.750 0.750 0.000
0.250 0.750 0.500
0.750 0.250 0.500
0.087 0.733 0.820
0.413 0.233 0.646
0.587 0.767 0.354
0.913 0.267 0.180
```

Summary:
Total DFT energy (no corrections) ... -4.25 eV/atom
Calculated density ... 8.9 g/cm³
Total moment ... 0.00 Bohr magnetons per cell
Space-group type ... Ibam, No. 72
Formation energy without anion corrections ... -205 meV per atom

---

[8]
VASP calculation (PBE-GGA) on a geometry-optimized YPd2RhSe structure.

Geometry as POSCAR:
```
YPd2RhSe
1.0
5.020 0.000 0.000
0.000 5.020 0.000
0.000 0.000 4.913
Y Pd Rh Se
1 2 1 1
Direct
0.000 0.000 0.000
0.000 0.500 0.000
0.500 0.000 0.000
0.000 0.000 0.500
0.500 0.500 0.500
```

Summary:
Total DFT energy (no corrections) ... -4.73 eV/atom
Calculated density ... 6.5 g/cm³
Total moment ... 0.00 Bohr magnetons per cell
Space-group type ... P4/mmm, No. 123
Formation energy without anion corrections ... 807 meV per atom

---

[9]
VASP calculation (PBE-GGA) on a geometry-optimized SiPd2Rh2 structure.

Geometry as POSCAR:
```
SiPd2Rh2
1.0
6.011 0.000 0.000
0.000 6.011 0.000
0.000 0.000 4.280
Si Pd Rh
2 4 4
Direct
0.000 0.000 0.000
0.500 0.500 0.000
0.165 0.335 0.500
0.335 0.835 0.500
0.665 0.165 0.500
0.835 0.665 0.500
0.147 0.647 0.000
0.353 0.147 0.000
0.647 0.853 0.000
0.853 0.353 0.000
```

Summary:
Total DFT energy (no corrections) ... -6.25 eV/atom
Calculated density ... 9.6 g/cm³
Total moment ... 0.00 Bohr magnetons per cell
Space-group type ... P4/mbm, No. 127
Formation energy without anion corrections ... -152 meV per atom

---

[10]
VASP calculation (PBE-GGA) on a geometry-optimized Si3PdRh structure.

Geometry as POSCAR:
```
Si3PdRh
1.0
4.570 0.000 0.000
0.000 4.570 0.000
0.000 0.000 4.570
Si Pd Rh
3 1 1
Direct
0.000 0.000 0.500
0.000 0.500 0.000
0.500 0.000 0.000
0.500 0.500 0.500
0.000 0.000 0.000
```

Summary:
Total DFT energy (no corrections) ... -5.32 eV/atom
Calculated density ... 5.1 g/cm³
Total moment ... 0.00 Bohr magnetons per cell
Space-group type ... Pm-3m, No. 221
Formation energy without anion corrections ... 439 meV per atom
E above lowest polymorph ... 0.00 eV/f.u.

---

[11]
VASP calculation (PBE-GGA) on a geometry-optimized SiPd3Rh structure.

Geometry as POSCAR:
```
SiPd3Rh
1.0
4.790 0.000 0.000
0.000 4.790 0.000
0.000 0.000 4.790
Si Pd Rh
1 3 1
Direct
0.000 0.000 0.000
0.000 0.500 0.500
0.500 0.000 0.500
0.500 0.500 0.000
0.500 0.500 0.500
```

Summary:
Total DFT energy (no corrections) ... -4.39 eV/atom
Calculated density ... 6.8 g/cm³
Total moment ... 2.02 Bohr magnetons per cell
Space-group type ... Pm-3m, No. 221
Formation energy without anion corrections ... 1285 meV per atom
E above lowest polymorph ... 4.63 eV/f.u.

---

[12]
VASP calculation (PBE-GGA) on a geometry-optimized SiPd3Rh structure.

Geometry as POSCAR:
```
SiPd3Rh
1.0
4.453 0.000 0.000
0.000 4.453 0.000
0.000 0.000 4.453
Si Pd Rh
1 3 1
Direct
0.000 0.000 0.000
0.000 0.000 0.500
0.000 0.500 0.000
0.500 0.000 0.000
0.500 0.500 0.500
```

Summary:
Total DFT energy (no corrections) ... -5.31 eV/atom
Calculated density ... 8.5 g/cm³
Total moment ... 1.12 Bohr magnetons per cell
Space-group type ... Pm-3m, No. 221
Formation energy without anion corrections ... 359 meV per atom
E above lowest polymorph ... 0.00 eV/f.u.